Density functional theory data (PBE with a Hubbard U) for crystalline LiV3F at its relaxed geometry.

Geometry as POSCAR:
```
LiV3F
1.0
4.7247 0.0000 0.0000
0.0000 4.7247 0.0000
0.0000 0.0000 4.7247
Li V F
1 3 1
Direct
0.0000 0.0000 0.0000 Li
0.0000 0.0000 0.5000 V
0.0000 0.5000 0.0000 V
0.5000 0.0000 0.0000 V
0.5000 0.5000 0.5000 F
```

Computed properties:
polymorph energy (0 for the lowest one) = 84.50 kJ per mole of atoms
size of the total moment = 10.81 μB per formula unit
calculated density = 2815 kg/m³